A plane-wave DFT calculation with PBE was carried out for a relaxed structure of Ac3AlF. Values from VASP.

Output
**Raw formation energy**: -894 meV/atom

Cell and atoms, written as Quantum ESPRESSO input:
```
&SYSTEM
  ibrav = 0, nat = 5, ntyp = 3
/
ATOMIC_SPECIES
Ac 227.00 Ac.upf
Al 26.98 Al.upf
F 19.00 F.upf
CELL_PARAMETERS angstrom
5.3714 0.0000 0.0000
0.0000 5.3714 0.0000
0.0000 0.0000 5.3714
ATOMIC_POSITIONS angstrom
Ac 0.0000 2.6857 0.0000
Ac 0.0000 0.0000 2.6857
Ac 2.6857 0.0000 0.0000
Al 2.6857 2.6857 2.6857
F 0.0000 0.0000 0.0000
```



A plane-wave DFT calculation with PBE was carried out for a relaxed structure of Tb6Nd2DyTm3. Values from VASP.

Output
**E_form**: 19 meV/atom

Cell and atoms, written as Quantum ESPRESSO input:
```
&SYSTEM
  ibrav = 0, nat = 12, ntyp = 4
/
ATOMIC_SPECIES
Tb 158.93 Tb.upf
Nd 144.24 Nd.upf
Dy 162.50 Dy.upf
Tm 168.93 Tm.upf
CELL_PARAMETERS angstrom
-2.1858 5.1697 2.5523
-3.8516 -3.9237 -2.7906
0.4474 -6.0326 10.1278
ATOMIC_POSITIONS angstrom
Tb -3.9075 -2.0541 8.2630
Tb -4.4303 -0.5967 2.3969
Tb -1.6825 -2.7325 1.6265
Tb -4.4616 -5.0786 6.4860
Tb -1.1597 -4.1899 7.4926
Tb -1.1284 0.2920 3.4035
Nd -3.2963 -0.8922 -1.0094
Nd -2.7411 2.1382 0.7711
Dy 0.0000 0.0000 0.0000
Tm -3.3508 -5.4271 3.1622
Tm -2.2392 0.6405 6.7273
Tm -2.7950 -2.3933 4.9448
```



A plane-wave DFT calculation with PBE was carried out for a relaxed structure of Pm2VH. Values from VASP.

Output
**Total energy**: -5.0312 eV/atom

Cell and atoms, written as Quantum ESPRESSO input:
```
&SYSTEM
  ibrav = 0, nat = 4, ntyp = 3
/
ATOMIC_SPECIES
H 1.01 H.upf
V 50.94 V.upf
Pm 145.00 Pm.upf
CELL_PARAMETERS angstrom
-0.8546 -2.9393 -1.2698
2.1473 -2.5232 0.0709
-2.7787 -4.3284 7.5646
ATOMIC_POSITIONS angstrom
H -0.7430 -4.8954 3.1829
V 0.0000 0.0000 0.0000
Pm -1.7436 -3.5196 4.9960
Pm 0.2575 -6.2712 1.3697
```



A plane-wave DFT calculation with PBE was carried out for a relaxed structure of MgZrFe2. Values from VASP.

Output
**E_form**: 68 meV/atom

Cell and atoms, written as Quantum ESPRESSO input:
```
&SYSTEM
  ibrav = 0, nat = 4, ntyp = 3
/
ATOMIC_SPECIES
Fe 55.84 Fe.upf
Mg 24.30 Mg.upf
Zr 91.22 Zr.upf
CELL_PARAMETERS angstrom
5.3497 0.0192 0.0485
4.4149 3.0214 0.0485
1.7558 0.5467 3.9781
ATOMIC_POSITIONS angstrom
Fe 2.0276 0.6314 3.8467
Fe 8.4507 2.6314 3.1481
Mg 5.5989 1.7434 2.1156
Zr 2.9591 0.9214 0.9803
```